[1]
Computed, not measured: Sm4AlInAg2 after structural relaxation at the PBE-GGA level of DFT.

a = 5.3093 Å, b = 5.3093 Å, c = 9.2110 Å
α = 73.25°, β = 73.25°, γ = 60.00°
With the nearest neighbours (Å) after each atom.
Sites, in units of the cell vectors:
Sm  0.3778  0.3778  0.8667  1 Al 3.19, 4 Ag 3.22-3.31, 3 In 3.28
Sm  0.8723  0.8723  0.3831  4 Ag 3.20-3.28, 3 Al 3.23, 1 In 3.33
Sm  0.1277  0.1277  0.6169  4 Ag 3.20-3.28, 3 Al 3.23, 1 In 3.33
Sm  0.6222  0.6222  0.1333  1 Al 3.19, 4 Ag 3.22-3.31, 3 In 3.28
Al  0.5000  0.5000  0.5000  8 Sm 3.19-3.23
In  0.0000  0.0000  0.0000  8 Sm 3.28-3.33
Ag  0.7494  0.7494  0.7519  8 Sm 3.20-3.31
Ag  0.2506  0.2506  0.2481  8 Sm 3.20-3.31



[2]
Computed, not measured: Sr2AlIn3Ag4 after structural relaxation at the PBE-GGA level of DFT.

a = 4.5142 Å, b = 4.5142 Å, c = 12.2828 Å
α = 90.00°, β = 90.00°, γ = 90.00°
With the nearest neighbours (Å) after each atom.
Sites, in units of the cell vectors:
Sr  0.5000  0.0000  0.2586  4 Ag 3.46, 6 In 3.51-3.73, 2 Al 3.73
Sr  0.0000  0.5000  0.7414  4 Ag 3.46, 6 In 3.51-3.73, 2 Al 3.73
Al  0.5000  0.5000  0.5000  4 Ag 2.79
In  0.0000  0.0000  0.5000  4 Ag 2.79
In  0.5000  0.0000  0.8605  5 Ag 2.79-2.83
In  0.0000  0.5000  0.1395  5 Ag 2.79-2.83
Ag  0.5000  0.5000  0.0000  4 In 2.83
Ag  0.0000  0.0000  0.0000  4 In 2.83
Ag  0.5000  0.0000  0.6335  3 In 2.79, 2 Al 2.79
Ag  0.0000  0.5000  0.3665  3 In 2.79, 2 Al 2.79



[3]
Computed, not measured: Sr2Al3In4Ag after structural relaxation at the PBE-GGA level of DFT.

a = 4.6459 Å, b = 4.6459 Å, c = 11.8846 Å
α = 90.00°, β = 90.00°, γ = 90.00°
With the nearest neighbours (Å) after each atom.
Sites, in units of the cell vectors:
Sr  0.5000  0.0000  0.2520  6 Al 3.55-3.75, 8 In 3.55-3.79, 2 Ag 3.75
Sr  0.0000  0.5000  0.7480  6 Al 3.55-3.75, 8 In 3.55-3.79, 2 Ag 3.75
Al  0.0000  0.0000  0.5000  4 In 2.82
Al  0.5000  0.0000  0.8611  5 In 2.69-2.85
Al  0.0000  0.5000  0.1389  5 In 2.69-2.85
In  0.5000  0.5000  0.0000  4 Al 2.85
In  0.0000  0.0000  0.0000  4 Al 2.85
In  0.5000  0.0000  0.6345  3 Al 2.69-2.82, 2 Ag 2.82
In  0.0000  0.5000  0.3655  3 Al 2.69-2.82, 2 Ag 2.82
Ag  0.5000  0.5000  0.5000  4 In 2.82



| no. | calculated formation energy (meV/atom) | E (eV per atom) |
| --- | --- | --- |
| 1 | -341 | -4.2239 |
| 2 | -252 | -2.9245 |
| 3 | -238 | -3.0780 |